No. 1
{"formula": "Ta6CrRe5", "functional": "PBE-GGA", "state": "optimized geometry", "cell": [[2.2584, -6.7650, 0.0000], [2.2584, 6.7650, 0.0000], [0.0000, 0.0000, 6.3697]], "species": ["Ta", "Ta", "Ta", "Ta", "Ta", "Ta", "Cr", "Re", "Re", "Re", "Re", "Re"], "fractional_positions": [[0.0000, 0.0000, 0.2464], [0.0000, 0.0000, 0.7536], [0.3348, 0.6652, 0.2485], [0.3348, 0.6652, 0.7515], [0.6652, 0.3348, 0.2485], [0.6652, 0.3348, 0.7515], [0.5000, 0.5000, 0.0000], [0.1662, 0.8338, 0.0000], [0.1670, 0.8330, 0.5000], [0.5000, 0.5000, 0.5000], [0.8330, 0.1670, 0.5000], [0.8338, 0.1662, 0.0000]], "total_magnetization_mub_per_cell": 0.00, "mass_density_kg_m3": 17650, "sg": "No. 65", "crystal_system": "orthorhombic", "e_tot_ev_per_atom": -12.284}

No. 2
{"formula": "TaCrRe3", "functional": "PBE-GGA", "state": "optimized geometry", "cell": [[4.6947, 0.0000, 0.0000], [0.0000, 4.6947, 0.0000], [0.0000, 0.0000, 4.6947]], "species": ["Ta", "Cr", "Re", "Re", "Re"], "fractional_positions": [[0.0000, 0.0000, 0.0000], [0.5000, 0.5000, 0.5000], [0.0000, 0.0000, 0.5000], [0.0000, 0.5000, 0.0000], [0.5000, 0.0000, 0.0000]], "total_magnetization_mub_per_cell": 0.10, "mass_density_kg_m3": 12703, "sg": "No. 221", "crystal_system": "cubic", "e_above_lowest_polymorph_mev_per_atom": 1388}

No. 3
{"formula": "TaCr2Re", "functional": "PBE-GGA", "state": "optimized geometry", "cell": [[2.6915, 0.0000, 0.0000], [0.0000, 4.2185, 0.0000], [-0.8887, 0.0000, 5.0203]], "species": ["Ta", "Cr", "Cr", "Re"], "fractional_positions": [[0.0000, 0.0000, 0.0000], [0.2466, 0.5000, 0.7398], [0.7534, 0.5000, 0.2602], [0.5000, 0.0000, 0.5000]], "total_magnetization_mub_per_cell": 0.00, "mass_density_kg_m3": 13725, "sg": "No. 10", "crystal_system": "monoclinic", "e_above_lowest_polymorph_mev_per_atom": 100}

No. 4
{"formula": "Ta6Cr5Re", "functional": "PBE-GGA", "state": "optimized geometry", "cell": [[-2.2027, 3.1196, 6.6258], [2.2027, -3.1196, 6.6258], [2.2027, 3.1196, -6.6258]], "species": ["Ta", "Ta", "Ta", "Ta", "Ta", "Ta", "Cr", "Cr", "Cr", "Cr", "Cr", "Re"], "fractional_positions": [[0.0795, 0.3317, 0.7479], [0.2456, 0.0000, 0.2456], [0.4162, 0.6683, 0.7479], [0.5838, 0.3317, 0.2521], [0.7544, 0.0000, 0.7544], [0.9205, 0.6683, 0.2521], [0.0000, 0.5000, 0.5000], [0.1669, 0.1669, 0.0000], [0.3328, 0.8328, 0.5000], [0.6672, 0.1672, 0.5000], [0.8331, 0.8331, 0.0000], [0.5000, 0.5000, 0.0000]], "total_magnetization_mub_per_cell": 0.00, "mass_density_kg_m3": 13967, "sg": "No. 71", "crystal_system": "orthorhombic", "e_tot_ev_per_atom": -11.084}

No. 5
{"formula": "TaCr2Re", "functional": "PBE-GGA", "state": "optimized geometry", "cell": [[1.4385, 0.8305, 8.1345], [-1.4385, 0.8305, 8.1345], [0.0000, -1.6610, 8.1345]], "species": ["Ta", "Cr", "Cr", "Re"], "fractional_positions": [[0.0000, 0.0000, 0.0000], [0.2476, 0.2476, 0.2476], [0.7524, 0.7524, 0.7524], [0.5000, 0.5000, 0.5000]], "total_magnetization_mub_per_cell": 0.00, "mass_density_kg_m3": 13418, "sg": "No. 166", "crystal_system": "trigonal", "e_above_lowest_polymorph_mev_per_atom": 426}

No. 6
{"formula": "TaCr2Re", "functional": "PBE-GGA", "state": "optimized geometry", "cell": [[-1.4425, 2.2057, 4.9353], [1.4425, -2.2057, 4.9353], [1.4425, 2.2057, -4.9353]], "species": ["Ta", "Cr", "Cr", "Re"], "fractional_positions": [[0.0000, 0.0000, 0.0000], [0.2652, 0.2652, 0.0000], [0.7348, 0.7348, 0.0000], [0.5000, 0.5000, 0.0000]], "total_magnetization_mub_per_cell": 0.00, "mass_density_kg_m3": 12456, "sg": "No. 71", "crystal_system": "orthorhombic", "e_above_lowest_polymorph_mev_per_atom": 897}